TcAsSe | PBE | relaxed

```
3
Lattice="4.287 0.000 0.000 2.144 3.713 0.000 2.144 1.238 3.500" Properties=species:S:1:pos:R:3 pbc="T T T"
As 0.000 0.000 0.000
Tc 6.431 3.713 2.625
Se 4.287 2.475 1.750
```

Summary:
Its uncorrected formation energy is 0.15 eV per formula unit. As for the total energy: -6.117 eV per atom. The space group is F-43m (216).